# 1
Crystalline Cs2Hg15Pb2 at its relaxed geometry. Source: the Alexandria database, functional GGA-PBE.

V   592.7 Å³ per cell
Uncorrected energy   -0.060 Ry per atom
E_form   -2.26 kcal/mol of atoms

Unit cell a=8.489 b=8.489 c=8.489 alpha=81.33 beta=81.33 gamma=81.33
Positions (direct):
1 Cs 0.336 0.336 0.336
2 Cs 0.664 0.664 0.664
3 Hg 0.500 0.000 0.000
4 Hg 0.000 0.000 0.500
5 Hg 0.000 0.500 0.000
6 Hg 0.000 0.705 0.295
7 Hg 0.705 0.295 0.000
8 Hg 0.295 0.000 0.705
9 Hg 0.295 0.705 0.000
10 Hg 0.705 0.000 0.295
11 Hg 0.000 0.295 0.705
12 Hg 0.161 0.642 0.642
13 Hg 0.642 0.642 0.161
14 Hg 0.642 0.161 0.642
15 Hg 0.839 0.358 0.358
16 Hg 0.358 0.358 0.839
17 Hg 0.358 0.839 0.358
18 Pb 0.096 0.096 0.096
19 Pb 0.904 0.904 0.904

# 2
Crystalline CsHg2Pb10 at its relaxed geometry. Source: the Alexandria database, functional GGA-PBE.

V   434.1 Å³ per cell
Uncorrected energy   -0.221 Ry per atom
E_form   -0.86 kcal/mol of atoms

Unit cell a=6.501 b=9.017 c=8.578 alpha=82.15 beta=67.73 gamma=68.87
Positions (direct):
1 Cs 0.000 0.000 0.000
2 Hg 0.000 0.500 0.000
3 Hg 0.500 0.500 0.000
4 Pb 0.357 0.646 0.639
5 Pb 0.643 0.354 0.361
6 Pb 0.003 0.354 0.639
7 Pb 0.997 0.646 0.361
8 Pb 0.000 0.000 0.500
9 Pb 0.500 0.000 0.500
10 Pb 0.271 0.236 0.222
11 Pb 0.729 0.764 0.778
12 Pb 0.507 0.764 0.222
13 Pb 0.493 0.236 0.778

# 3
Crystalline Cs2HgPb2 at its relaxed geometry. Source: the Alexandria database, functional GGA-PBE.

Energy above the lowest structure with this stoichiometry   0.070 eV per atom
V   242.4 Å³ per cell
Uncorrected energy   -0.142 Ry per atom
E_form   -1.12 kcal/mol of atoms

Unit cell a=4.556 b=4.556 c=12.110 alpha=79.16 beta=79.16 gamma=90.00
Positions (direct):
1 Pb 0.750 0.250 0.500
2 Pb 0.250 0.750 0.500
3 Cs 0.396 0.396 0.209
4 Cs 0.604 0.604 0.791
5 Hg 0.000 0.000 0.000

# 4
Crystalline Cs2Hg2Pb15 at its relaxed geometry. Source: the Alexandria database, functional GGA-PBE.

V   662.6 Å³ per cell
Uncorrected energy   -0.226 Ry per atom
E_form   -0.50 kcal/mol of atoms

Unit cell a=8.799 b=8.799 c=8.799 alpha=81.91 beta=81.91 gamma=81.91
Positions (direct):
1 Cs 0.335 0.335 0.335
2 Cs 0.665 0.665 0.665
3 Hg 0.093 0.093 0.093
4 Hg 0.907 0.907 0.907
5 Pb 0.500 0.000 0.000
6 Pb 0.000 0.000 0.500
7 Pb 0.000 0.500 0.000
8 Pb 0.000 0.705 0.295
9 Pb 0.705 0.295 0.000
10 Pb 0.295 0.000 0.705
11 Pb 0.295 0.705 0.000
12 Pb 0.705 0.000 0.295
13 Pb 0.000 0.295 0.705
14 Pb 0.155 0.652 0.652
15 Pb 0.652 0.652 0.155
16 Pb 0.652 0.155 0.652
17 Pb 0.845 0.348 0.348
18 Pb 0.348 0.348 0.845
19 Pb 0.348 0.845 0.348

# 5
Crystalline CsHg2Pb5 at its relaxed geometry. Source: the Alexandria database, functional GGA-PBE.

V   277.2 Å³ per cell
Uncorrected energy   -0.188 Ry per atom
E_form   -1.38 kcal/mol of atoms

Unit cell a=4.858 b=8.083 c=8.083 alpha=69.91 beta=72.47 gamma=72.47
Positions (direct):
1 Cs 0.000 0.000 0.000
2 Hg 0.263 0.234 0.234
3 Hg 0.737 0.766 0.766
4 Pb 0.000 0.500 0.500
5 Pb 0.356 0.462 0.831
6 Pb 0.644 0.538 0.169
7 Pb 0.644 0.169 0.538
8 Pb 0.356 0.831 0.462

# 6
Crystalline Cs2HgPdPb at its relaxed geometry. Source: the Alexandria database, functional GGA-PBE.

V   245.8 Å³ per cell
Uncorrected energy   -0.166 Ry per atom
E_form   -1.69 kcal/mol of atoms

Unit cell a=6.833 b=6.833 c=5.264 alpha=90.00 beta=90.00 gamma=90.00
Positions (direct):
1 Pb 0.000 0.000 0.500
2 Cs 0.000 0.500 0.000
3 Cs 0.500 0.000 0.000
4 Hg 0.500 0.500 0.500
5 Pd 0.000 0.000 0.000

# 7
Crystalline CsHg2PdPb at its relaxed geometry. Source: the Alexandria database, functional GGA-PBE.

V   164.1 Å³ per cell
Uncorrected energy   -0.163 Ry per atom
E_form   -3.49 kcal/mol of atoms

Unit cell a=5.526 b=5.526 c=5.375 alpha=90.00 beta=90.00 gamma=90.00
Positions (direct):
1 Pb 0.000 0.000 0.500
2 Cs 0.500 0.500 0.500
3 Hg 0.000 0.500 0.000
4 Hg 0.500 0.000 0.000
5 Pd 0.000 0.000 0.000

# 8
Crystalline Cs2HgPtPb at its relaxed geometry. Source: the Alexandria database, functional GGA-PBE.

V   246.3 Å³ per cell
Uncorrected energy   -0.181 Ry per atom
E_form   -2.55 kcal/mol of atoms

Unit cell a=6.867 b=6.867 c=5.222 alpha=90.00 beta=90.00 gamma=90.00
Positions (direct):
1 Pb 0.000 0.000 0.500
2 Cs 0.000 0.500 0.000
3 Cs 0.500 0.000 0.000
4 Hg 0.500 0.500 0.500
5 Pt 0.000 0.000 0.000

# 9
Crystalline CsHg2PtPb at its relaxed geometry. Source: the Alexandria database, functional GGA-PBE.

V   163.5 Å³ per cell
Uncorrected energy   -0.177 Ry per atom
E_form   -3.80 kcal/mol of atoms

Unit cell a=5.479 b=5.479 c=5.446 alpha=90.00 beta=90.00 gamma=90.00
Positions (direct):
1 Pb 0.000 0.000 0.500
2 Cs 0.500 0.500 0.500
3 Hg 0.000 0.500 0.000
4 Hg 0.500 0.000 0.000
5 Pt 0.000 0.000 0.000

# 10
Crystalline CsReHg2Pb at its relaxed geometry. Source: the Alexandria database, functional GGA-PBE.

V   160.1 Å³ per cell
Uncorrected energy   -0.234 Ry per atom
E_form   7.86 kcal/mol of atoms

Unit cell a=5.490 b=5.311 c=5.490 alpha=90.00 beta=90.00 gamma=90.00
Positions (direct):
1 Pb 0.000 0.500 0.000
2 Re 0.000 0.000 0.000
3 Hg 0.000 0.000 0.500
4 Hg 0.500 0.000 0.000
5 Cs 0.500 0.500 0.500

# 11
Crystalline CsHg2Sb2Pb at its relaxed geometry. Source: the Alexandria database, functional GGA-PBE.

V   212.2 Å³ per cell
Uncorrected energy   -0.176 Ry per atom

Unit cell a=5.095 b=5.095 c=9.438 alpha=90.00 beta=90.00 gamma=120.00
Positions (direct):
1 Cs 0.000 0.000 0.000
2 Hg 0.667 0.333 0.294
3 Hg 0.333 0.667 0.706
4 Sb 0.667 0.333 0.694
5 Sb 0.333 0.667 0.306
6 Pb 0.000 0.000 0.500

# 12
Crystalline Cs2HgSbPb at its relaxed geometry. Source: the Alexandria database, functional GGA-PBE.

V   457.0 Å³ per cell
Uncorrected energy   -0.164 Ry per atom

Unit cell a=4.694 b=9.473 c=11.434 alpha=116.02 beta=90.00 gamma=90.00
Positions (direct):
1 Cs 0.750 0.862 0.618
2 Cs 0.750 0.701 0.062
3 Cs 0.250 0.138 0.382
4 Cs 0.250 0.299 0.938
5 Hg 0.250 0.889 0.924
6 Hg 0.750 0.111 0.076
7 Sb 0.250 0.636 0.300
8 Sb 0.750 0.364 0.700
9 Pb 0.250 0.551 0.675
10 Pb 0.750 0.449 0.325